First-principles (PBE-GGA) data for a relaxed structure of CdTc3As, as listed in Alexandria via LeMat-Bulk.

Cell lengths 5.0211, 5.0211, 5.0211 Å; angles 90.00, 90.00, 90.00 degrees
Fractional coordinates of all 5 atoms:
As (0.5000, 0.5000, 0.5000)
Tc (0.5000, 0.0000, 0.0000)
Tc (0.0000, 0.0000, 0.5000)
Tc (0.0000, 0.5000, 0.0000)
Cd (0.0000, 0.0000, 0.0000)


First-principles (PBE-GGA) data for a relaxed structure of LiAcHgPd, as listed in Alexandria via LeMat-Bulk.

Cell lengths 5.2302, 5.2302, 5.2302 Å; angles 60.00, 60.00, 60.00 degrees
Fractional coordinates of all 4 atoms:
Hg (0.5000, 0.5000, 0.5000)
Ac (0.7500, 0.7500, 0.7500)
Li (0.2500, 0.2500, 0.2500)
Pd (0.0000, 0.0000, 0.0000)


| no. | E (eV/cell) | calculated volume (Å³/f.u.) |
| --- | --- | --- |
| 1 | -24.3 | 126.6 |
| 2 | -13.2 | 101.2 |